Below is a geometry-optimized CsCo2Cu structure, with properties calculated at the GGA-PBE level.

Computed properties:
Density (g/cm3): 7.8
V (A^3/atom): 16.80
Energy relative to the elements (eV/atom): 1.5588

Lattice parameters (Å, degrees): 6.453 6.453 6.453 90.00 90.00 90.00
Space group Fm-3m (No. 225)
Unique sites:
Cs 0.000 0.000 0.000 x4
Co 0.250 0.250 0.250 x8
Cu 0.000 0.000 0.500 x4

Below is a geometry-optimized Cs2CoCu structure, with properties calculated at the GGA-PBE level.

Computed properties:
Density (g/cm3): 3.8
V (A^3/atom): 42.80
Energy relative to the elements (eV/atom): 0.9542

Lattice parameters (Å, degrees): 8.815 8.815 8.815 90.00 90.00 90.00
Space group Fm-3m (No. 225)
Unique sites:
Cs 0.250 0.250 0.250 x8
Co 0.000 0.000 0.000 x4
Cu 0.000 0.000 0.500 x4

Record order is preserved below.
Total DFT energy (no corrections): -3.232; -2.273 eV/atom